# 1
The following is a DFT calculation (PBE) of a relaxed structure of CuPd3Pt2.

Geometry as POSCAR:
```
CuPd3Pt2
1.0
0.000 4.486 7.642
2.663 0.000 7.642
2.663 4.486 0.000
Cu Pd Pt
2 6 4
Direct
0.162 0.162 0.838
0.838 0.838 0.162
0.162 0.667 0.333
0.326 0.326 0.674
0.333 0.838 0.162
0.667 0.162 0.838
0.674 0.674 0.326
0.838 0.333 0.667
0.250 0.250 0.250
0.250 0.750 0.750
0.750 0.250 0.250
0.750 0.750 0.750
```

Calculated values
Calculated volume, Å³/cell: 183
N(E_F), states/eV per cell: 27.50
Energy relative to the elements, eV per atom: 0.052
Space-group type: Fmmm
Crystal system: orthorhombic

# 2
The following is a DFT calculation (PBE) of a relaxed structure of SrBePt2.

Geometry as POSCAR:
```
SrBePt2
1.0
-2.172 2.172 3.879
2.172 -2.172 3.879
2.172 2.172 -3.879
Sr Be Pt
1 1 2
Direct
0.000 0.000 0.000
0.500 0.500 0.000
0.250 0.750 0.500
0.750 0.250 0.500
```

Calculated values
Calculated volume, Å³/cell: 73
N(E_F), states/eV per cell: 1.75
Energy relative to the elements, eV per atom: -0.089
Space-group type: I4/mmm
Crystal system: tetragonal

# 3
The following is a DFT calculation (PBE) of a relaxed structure of LiNd2Au2.

Geometry as POSCAR:
```
LiNd2Au2
1.0
8.077 0.000 0.000
0.000 8.077 0.000
0.000 0.000 3.969
Li Nd Au
2 4 4
Direct
0.000 0.000 0.000
0.500 0.500 0.000
0.164 0.336 0.500
0.336 0.836 0.500
0.664 0.164 0.500
0.836 0.664 0.500
0.135 0.635 0.000
0.365 0.135 0.000
0.635 0.865 0.000
0.865 0.365 0.000
```

Calculated values
Calculated volume, Å³/cell: 259
N(E_F), states/eV per cell: 9.08
Energy relative to the elements, eV per atom: -0.634
Space-group type: P4/mbm
Crystal system: tetragonal

# 4
The following is a DFT calculation (PBE) of a relaxed structure of Cd2CuF8.

Geometry as POSCAR:
```
Cd2CuF8
1.0
4.706 -3.609 0.000
4.706 3.609 0.000
-1.494 0.000 4.239
Cd Cu F
2 1 8
Direct
0.162 0.162 0.352
0.838 0.838 0.648
0.500 0.500 0.000
0.091 0.091 0.804
0.186 0.546 0.737
0.382 0.382 0.241
0.454 0.814 0.263
0.546 0.186 0.737
0.618 0.618 0.759
0.814 0.454 0.263
0.909 0.909 0.196
```

Calculated values
Calculated volume, Å³/cell: 144
E, Ry per atom: -0.262
N(E_F), states/eV per cell: 3.31
Space-group type: C2/m
Crystal system: monoclinic

# 5
The following is a DFT calculation (PBE) of a relaxed structure of Pm2Sm2YHo.

Geometry as POSCAR:
```
Pm2Sm2YHo
1.0
7.082 0.000 0.000
0.000 5.689 0.000
0.000 0.000 9.861
Pm Sm Y Ho
4 4 2 2
Direct
0.250 0.000 0.160
0.250 0.500 0.672
0.750 0.000 0.840
0.750 0.500 0.328
0.000 0.500 0.000
0.250 0.000 0.824
0.500 0.500 0.000
0.750 0.000 0.176
0.000 0.000 0.500
0.500 0.000 0.500
0.250 0.500 0.341
0.750 0.500 0.659
```

Calculated values
Calculated volume, Å³/cell: 397
N(E_F), states/eV per cell: 18.86
Energy relative to the elements, eV per atom: 0.056
Space-group type: Pmma
Crystal system: orthorhombic

# 6
The following is a DFT calculation (PBE) of a relaxed structure of Mg2ZrTc2.

Geometry as POSCAR:
```
Mg2ZrTc2
1.0
7.605 0.000 0.000
0.000 7.605 0.000
0.000 0.000 3.138
Mg Zr Tc
4 2 4
Direct
0.184 0.316 0.000
0.316 0.816 0.000
0.684 0.184 0.000
0.816 0.684 0.000
0.000 0.000 0.500
0.500 0.500 0.500
0.108 0.608 0.500
0.392 0.108 0.500
0.608 0.892 0.500
0.892 0.392 0.500
```

Calculated values
Calculated volume, Å³/cell: 182
N(E_F), states/eV per cell: 13.46
Energy relative to the elements, eV per atom: 0.254
Space-group type: P4/mbm
Crystal system: tetragonal

# 7
The following is a DFT calculation (PBE) of a relaxed structure of PmPuAu4.

Geometry as POSCAR:
```
PmPuAu4
1.0
0.000 4.039 4.039
4.039 0.000 4.039
4.039 4.039 0.000
Pm Pu Au
1 1 4
Direct
0.000 0.000 0.000
0.250 0.250 0.250
0.125 0.625 0.625
0.625 0.125 0.625
0.625 0.625 0.125
0.625 0.625 0.625
```

Calculated values
Calculated volume, Å³/cell: 132
N(E_F), states/eV per cell: 14.90
Energy relative to the elements, eV per atom: -0.409
Space-group type: F-43m
Crystal system: cubic

# 8
The following is a DFT calculation (PBE) of a relaxed structure of BaNaPt.

Geometry as POSCAR:
```
BaNaPt
1.0
8.144 0.000 0.000
0.000 4.585 0.000
-0.112 0.000 13.989
Ba Na Pt
6 6 6
Direct
0.046 0.250 0.380
0.156 0.250 0.083
0.449 0.750 0.716
0.551 0.250 0.284
0.844 0.750 0.917
0.954 0.750 0.620
0.125 0.250 0.799
0.371 0.750 0.462
0.493 0.250 0.919
0.507 0.750 0.081
0.629 0.250 0.538
0.875 0.750 0.201
0.242 0.250 0.587
0.243 0.750 0.919
0.259 0.750 0.249
0.741 0.250 0.751
0.757 0.250 0.081
0.758 0.750 0.413
```

Calculated values
Calculated volume, Å³/cell: 522
N(E_F), states/eV per cell: 8.48
Energy relative to the elements, eV per atom: -0.459
Space-group type: P2_1/m
Crystal system: monoclinic

# 9
The following is a DFT calculation (PBE) of a relaxed structure of Ca3Ac.

Geometry as POSCAR:
```
Ca3Ac
1.0
5.573 0.000 0.000
0.000 5.573 0.000
0.000 0.000 5.573
Ca Ac
3 1
Direct
0.000 0.000 0.500
0.000 0.500 0.000
0.500 0.000 0.000
0.500 0.500 0.500
```

Calculated values
Calculated volume, Å³/cell: 173
N(E_F), states/eV per cell: 6.85
Energy relative to the elements, eV per atom: 0.078
Space-group type: Pm-3m
Crystal system: cubic

# 10
The following is a DFT calculation (PBE) of a relaxed structure of Pm4InGe.

Geometry as POSCAR:
```
Pm4InGe
1.0
5.917 0.000 0.000
0.000 6.895 0.000
-1.416 0.000 8.688
Pm In Ge
8 2 2
Direct
0.153 0.250 0.048
0.175 0.750 0.364
0.344 0.513 0.742
0.344 0.987 0.742
0.656 0.013 0.258
0.656 0.487 0.258
0.825 0.250 0.636
0.847 0.750 0.952
0.231 0.250 0.418
0.769 0.750 0.582
0.345 0.750 0.041
0.655 0.250 0.959
```

Calculated values
Calculated volume, Å³/cell: 354
N(E_F), states/eV per cell: 10.80
Energy relative to the elements, eV per atom: -0.460
Space-group type: P2_1/m
Crystal system: monoclinic

# 11
The following is a DFT calculation (PBE) of a relaxed structure of As2IrBr.

Geometry as POSCAR:
```
As2IrBr
1.0
-3.187 3.187 5.463
3.187 -3.187 5.463
3.187 3.187 -5.463
As Ir Br
4 2 2
Direct
0.037 0.625 0.912
0.375 0.287 0.412
0.713 0.125 0.088
0.875 0.963 0.588
0.000 0.000 0.000
0.750 0.250 0.500
0.250 0.750 0.500
0.500 0.500 0.000
```

Calculated values
Calculated volume, Å³/cell: 222
E, Ry per atom: -0.358
N(E_F), states/eV per cell: 4.46
Space-group type: I-42d
Crystal system: tetragonal

# 12
The following is a DFT calculation (PBE) of a relaxed structure of CoCuTcRh.

Geometry as POSCAR:
```
CoCuTcRh
1.0
0.000 2.980 2.980
2.980 0.000 2.980
2.980 2.980 0.000
Co Cu Tc Rh
1 1 1 1
Direct
0.000 0.000 0.000
0.250 0.250 0.250
0.750 0.750 0.750
0.500 0.500 0.500
```

Calculated values
Calculated volume, Å³/cell: 53
N(E_F), states/eV per cell: 2.34
Energy relative to the elements, eV per atom: 0.215
Space-group type: F-43m
Crystal system: cubic

# 13
The following is a DFT calculation (PBE) of a relaxed structure of Sm11Hg9Au4.

Geometry as POSCAR:
```
Sm11Hg9Au4
1.0
7.461 -11.194 0.000
7.461 11.194 0.000
0.000 0.000 3.773
Sm Hg Au
11 9 4
Direct
0.000 0.000 0.000
0.070 0.413 0.000
0.168 0.832 0.000
0.290 0.290 0.000
0.365 0.635 0.000
0.413 0.070 0.000
0.587 0.930 0.000
0.635 0.365 0.000
0.710 0.710 0.000
0.832 0.168 0.000
0.930 0.587 0.000
0.060 0.210 0.500
0.153 0.632 0.500
0.210 0.060 0.500
0.368 0.847 0.500
0.500 0.500 0.500
0.632 0.153 0.500
0.790 0.940 0.500
0.847 0.368 0.500
0.940 0.790 0.500
0.252 0.448 0.500
0.448 0.252 0.500
0.552 0.748 0.500
0.748 0.552 0.500
```

Calculated values
Calculated volume, Å³/cell: 630
N(E_F), states/eV per cell: 19.10
Energy relative to the elements, eV per atom: -0.583
Space-group type: Cmmm
Crystal system: orthorhombic

# 14
The following is a DFT calculation (PBE) of a relaxed structure of NbCrBr3.

Geometry as POSCAR:
```
NbCrBr3
1.0
5.337 0.000 0.000
0.000 5.337 0.000
0.000 0.000 5.337
Nb Cr Br
1 1 3
Direct
0.000 0.000 0.000
0.500 0.500 0.500
0.000 0.000 0.500
0.000 0.500 0.000
0.500 0.000 0.000
```

Calculated values
Calculated volume, Å³/cell: 152
E, Ry per atom: -0.349
N(E_F), states/eV per cell: 7.94
Space-group type: Pm-3m
Crystal system: cubic

# 15
The following is a DFT calculation (PBE) of a relaxed structure of Rb3Ac2O4.

Geometry as POSCAR:
```
Rb3Ac2O4
1.0
6.978 -1.919 0.000
6.978 1.919 0.000
-4.379 0.000 9.091
Rb Ac O
3 2 4
Direct
0.000 0.000 0.000
0.380 0.380 0.602
0.620 0.620 0.398
0.213 0.213 0.820
0.787 0.787 0.180
0.222 0.222 0.275
0.352 0.352 0.068
0.648 0.648 0.932
0.778 0.778 0.725
```

Calculated values
Calculated volume, Å³/cell: 244
E, Ry per atom: -0.409
N(E_F), states/eV per cell: 1.44
Space-group type: C2/m
Crystal system: monoclinic

# 16
The following is a DFT calculation (PBE) of a relaxed structure of SrPrCuAu.

Geometry as POSCAR:
```
SrPrCuAu
1.0
0.000 3.735 3.735
3.735 0.000 3.735
3.735 3.735 0.000
Sr Pr Cu Au
1 1 1 1
Direct
0.000 0.000 0.000
0.500 0.500 0.500
0.250 0.250 0.250
0.750 0.750 0.750
```

Calculated values
Calculated volume, Å³/cell: 104
N(E_F), states/eV per cell: 2.53
Energy relative to the elements, eV per atom: -0.381
Space-group type: F-43m
Crystal system: cubic

# 17
The following is a DFT calculation (PBE) of a relaxed structure of Te5Br4.

Geometry as POSCAR:
```
Te5Br4
1.0
-6.026 6.026 1.871
6.026 -6.026 1.871
6.026 6.026 -1.871
Te Br
5 4
Direct
0.000 0.000 0.000
0.316 0.316 0.631
0.316 0.684 0.000
0.684 0.316 0.000
0.684 0.684 0.369
0.000 0.306 0.306
0.000 0.694 0.694
0.306 0.000 0.306
0.694 0.000 0.694
```

Calculated values
Calculated volume, Å³/cell: 272
E, Ry per atom: -0.166
N(E_F), states/eV per cell: 7.81
Space-group type: I4/mmm
Crystal system: tetragonal

# 18
The following is a DFT calculation (PBE) of a relaxed structure of ZnOs3F.

Geometry as POSCAR:
```
ZnOs3F
1.0
4.212 0.000 0.000
0.000 4.212 0.000
0.000 0.000 4.212
Zn Os F
1 3 1
Direct
0.000 0.000 0.000
0.000 0.500 0.500
0.500 0.000 0.500
0.500 0.500 0.000
0.500 0.500 0.500
```

Calculated values
Calculated volume, Å³/cell: 75
E, Ry per atom: -0.418
N(E_F), states/eV per cell: 6.90
Space-group type: Pm-3m
Crystal system: cubic

# 19
The following is a DFT calculation (PBE) of a relaxed structure of CaCu2As.

Geometry as POSCAR:
```
CaCu2As
1.0
2.837 -4.960 0.000
2.837 4.960 0.000
-1.607 0.000 2.595
Ca Cu As
1 2 1
Direct
0.000 0.000 0.000
0.000 0.500 0.500
0.500 0.000 0.500
0.500 0.500 0.000
```

Calculated values
Calculated volume, Å³/cell: 73
N(E_F), states/eV per cell: 1.34
Energy relative to the elements, eV per atom: 0.030
Space-group type: C2/m
Crystal system: monoclinic

# 20
The following is a DFT calculation (PBE) of a relaxed structure of MnCu2Ge.

Geometry as POSCAR:
```
MnCu2Ge
1.0
2.801 0.000 0.000
0.000 7.988 0.000
-1.385 0.000 4.796
Mn Cu Ge
2 4 2
Direct
0.026 0.250 0.053
0.974 0.750 0.947
0.373 0.018 0.746
0.373 0.482 0.746
0.627 0.518 0.254
0.627 0.982 0.254
0.241 0.750 0.481
0.759 0.250 0.519
```

Calculated values
Calculated volume, Å³/cell: 107
N(E_F), states/eV per cell: 3.65
Energy relative to the elements, eV per atom: 0.040
Space-group type: P2_1/m
Crystal system: monoclinic